[1]
YBe2Mo PBE optimized geometry; energy of formation = 0.82 eV per formula unit; energy above the most stable polymorph in this dataset = 0.143 eV per atom; N(E_F) = 4.4 states/eV/f.u.; SG = C2/m; size of the total moment = 0.0 μB/f.u.
1.0
3.833 -1.825 0.000
3.833 1.825 0.000
-1.847 0.000 4.733
Y Be Mo
1 2 1
Cartesian
0.000 0.000 0.000
0.555 0.000 2.816
5.263 0.000 1.917
2.909 0.000 2.367

=====

[2]
Ca3ZrAg PBE optimized geometry; energy of formation = 4.90 eV per formula unit; energy above the most stable polymorph in this dataset = 0.514 eV per atom; N(E_F) = 6.1 states/eV/f.u.; SG = Pm-3m; size of the total moment = 1.3 μB/f.u.
1.0
5.688 0.000 0.000
0.000 5.688 0.000
0.000 0.000 5.688
Ca Zr Ag
3 1 1
Cartesian
0.000 0.000 2.844
0.000 2.844 0.000
2.844 0.000 0.000
0.000 0.000 0.000
2.844 2.844 2.844

=====

[3]
ZnSn2HgMo PBE optimized geometry; energy of formation = 6.58 eV per formula unit; N(E_F) = 3.0 states/eV/f.u.; SG = P4/mmm; size of the total moment = 3.8 μB/f.u.
1.0
5.494 0.000 0.000
0.000 5.494 0.000
0.000 0.000 5.408
Zn Sn Hg Mo
1 2 1 1
Cartesian
0.000 0.000 0.000
0.000 2.747 2.704
2.747 0.000 2.704
2.747 2.747 2.704
2.747 2.747 0.000

=====

[4]
Sm2EuTl PBE optimized geometry; energy of formation = -0.29 eV per formula unit; energy above the most stable polymorph in this dataset = 0.091 eV per atom; N(E_F) = 4.3 states/eV/f.u.; SG = R-3m; size of the total moment = 8.0 μB/f.u.
1.0
1.882 1.087 11.124
-1.882 1.087 11.124
0.000 -2.173 11.124
Sm Eu Tl
2 1 1
Cartesian
0.000 0.000 8.040
0.000 0.000 25.333
0.000 0.000 0.000
0.000 0.000 16.686